Record 1
DFT (PBE) results for crystalline SrHg2Bi at its relaxed geometry.

Geometry as CIF:
```
data_SrHg2Bi
_chemical_formula_sum 'Sr1 Hg2 Bi1'
_space_group_name_H-M_alt 'P 4/m m m'
_space_group_IT_number 123
_space_group_name_Hall '-P 4 2'
_cell_length_a 4.811
_cell_length_b 4.811
_cell_length_c 5.120
_cell_angle_alpha 90.00
_cell_angle_beta 90.00
_cell_angle_gamma 90.00
loop_
_atom_site_label
_atom_site_type_symbol
_atom_site_fract_x
_atom_site_fract_y
_atom_site_fract_z
Sr1 Sr 0.000 0.000 0.000
Hg1 Hg 0.000 0.500 0.500
Bi1 Bi 0.500 0.500 0.000
```

Values from the calculation:
Final energy = -1.9503 eV/atom
Size of the total moment = 0.00 μB per formula unit


Record 2
DFT (PBE) results for crystalline SrHgBi at its relaxed geometry.

Geometry as CIF:
```
data_SrHgBi
_chemical_formula_sum 'Sr4 Hg4 Bi4'
_space_group_name_H-M_alt 'I m m m'
_space_group_IT_number 71
_space_group_name_Hall '-I 2 2'
_cell_length_a 3.942
_cell_length_b 6.249
_cell_length_c 17.294
_cell_angle_alpha 90.00
_cell_angle_beta 90.00
_cell_angle_gamma 90.00
loop_
_atom_site_label
_atom_site_type_symbol
_atom_site_fract_x
_atom_site_fract_y
_atom_site_fract_z
Sr1 Sr 0.000 0.000 0.144
Hg1 Hg 0.000 0.000 0.332
Bi1 Bi 0.000 0.250 0.500
```

Values from the calculation:
Relative energy among the computed polymorphs = 0.1327 eV/atom
Final energy = -2.3472 eV/atom
Size of the total moment = 0.00 μB per formula unit


Record 3
DFT (PBE) results for crystalline SrHgBi2 at its relaxed geometry.

Geometry as CIF:
```
data_SrHgBi2
_chemical_formula_sum 'Sr1 Hg1 Bi2'
_space_group_name_H-M_alt 'P 4/m m m'
_space_group_IT_number 123
_space_group_name_Hall '-P 4 2'
_cell_length_a 4.833
_cell_length_b 4.833
_cell_length_c 5.402
_cell_angle_alpha 90.00
_cell_angle_beta 90.00
_cell_angle_gamma 90.00
loop_
_atom_site_label
_atom_site_type_symbol
_atom_site_fract_x
_atom_site_fract_y
_atom_site_fract_z
Sr1 Sr 0.000 0.000 0.000
Hg1 Hg 0.500 0.500 0.000
Bi1 Bi 0.000 0.500 0.500
```

Values from the calculation:
Final energy = -2.8886 eV/atom
Size of the total moment = 0.00 μB per formula unit


> What is the formula in the second record?

SrHgBi


> Which value of size of the total moment does entry 2 give?

0.00 μB per formula unit